one | Computed, not measured: a relaxed structure of P2WBr at the PBE level of DFT.

Cell: 3.1241 3.1241 7.9038 Å, 90.00 90.00 90.00°
Closest atoms and distances in Å follow each position.
Fractional positions:
P (0.0000, 0.0000, 0.1626)  4 W 2.56, 1 P 2.57
P (0.0000, 0.0000, 0.8374)  4 W 2.56, 1 P 2.57
W (0.5000, 0.5000, 0.0000)  8 P 2.56
Br (0.5000, 0.5000, 0.5000)  4 Br 3.12, 8 P 3.46

Values from the calculation:
The density of states at the Fermi level is 0.877 states/eV/atom. For the calculated volume, the calculation gives 19.29 Å³ per atom.

=====

two | Computed, not measured: a relaxed structure of P2WBr at the PBE level of DFT.

Cell: 6.8970 6.8970 6.8970 Å, 126.00 126.00 79.89°
Closest atoms and distances in Å follow each position.
Fractional positions:
P (0.0397, 0.6250, 0.9147)  2 W 2.29
P (0.3750, 0.2897, 0.4147)  2 W 2.29
P (0.7103, 0.1250, 0.0853)  2 W 2.29
P (0.8750, 0.9603, 0.5853)  2 W 2.29
W (0.0000, 0.0000, 0.0000)  4 P 2.29
W (0.7500, 0.2500, 0.5000)  4 P 2.29
Br (0.2500, 0.7500, 0.5000)  4 P 2.93
Br (0.5000, 0.5000, 0.0000)  4 P 2.93

Values from the calculation:
The density of states at the Fermi level is 0.824 states/eV/atom. For the calculated volume, the calculation gives 25.92 Å³ per atom.

=====

The most stable of them is one.

=====

one | Computed, not measured: a relaxed structure of P2WBr at the PBE level of DFT.

Cell: 8.1314 8.1314 8.1314 Å, 24.17 24.17 24.17°
Closest atoms and distances in Å follow each position.
Fractional positions:
P (0.1041, 0.1041, 0.1041)  3 W 2.46, 1 Br 2.46
P (0.8959, 0.8959, 0.8959)  3 W 2.46, 1 Br 2.46
W (0.5000, 0.5000, 0.5000)  6 P 2.46
Br (0.0000, 0.0000, 0.0000)  2 P 2.46

Values from the calculation:
The density of states at the Fermi level is 0.457 states/eV/atom. For the calculated volume, the calculation gives 19.80 Å³ per atom.

=====

two | Computed, not measured: a relaxed structure of P2WBr at the PBE level of DFT.

Cell: 4.5453 4.5453 7.3898 Å, 103.83 103.83 42.80°
Closest atoms and distances in Å follow each position.
Fractional positions:
P (0.0000, 0.0000, 0.0000)  1 P 2.23, 2 W 2.47
P (0.1451, 0.1451, 0.7875)  1 P 2.23, 2 W 2.41
W (0.4316, 0.4316, 0.7443)  5 P 2.41-2.53, 2 Br 2.66
Br (0.8000, 0.8000, 0.4645)  2 W 2.66

Values from the calculation:
The density of states at the Fermi level is 0.601 states/eV/atom. For the calculated volume, the calculation gives 25.07 Å³ per atom.

=====

The most stable of them is two.

=====

one | Computed, not measured: a relaxed structure of PWBr3 at the PBE level of DFT.

Cell: 5.1456 5.1456 5.1456 Å, 90.00 90.00 90.00°
Closest atoms and distances in Å follow each position.
Fractional positions:
P (0.0000, 0.0000, 0.0000)  6 Br 2.57
W (0.5000, 0.5000, 0.5000)  12 Br 3.64
Br (0.0000, 0.0000, 0.5000)  2 P 2.57
Br (0.0000, 0.5000, 0.0000)  2 P 2.57
Br (0.5000, 0.0000, 0.0000)  2 P 2.57

Values from the calculation:
The density of states at the Fermi level is 1.562 states/eV/atom. For the calculated volume, the calculation gives 27.25 Å³ per atom.

=====

two | Computed, not measured: a relaxed structure of PWBr3 at the PBE level of DFT.

Cell: 5.2625 5.2625 5.2625 Å, 90.00 90.00 90.00°
Closest atoms and distances in Å follow each position.
Fractional positions:
P (0.0000, 0.0000, 0.0000)  12 Br 3.72
W (0.5000, 0.5000, 0.5000)  6 Br 2.63
Br (0.0000, 0.5000, 0.5000)  2 W 2.63
Br (0.5000, 0.0000, 0.5000)  2 W 2.63
Br (0.5000, 0.5000, 0.0000)  2 W 2.63

Values from the calculation:
The density of states at the Fermi level is 0.574 states/eV/atom. For the calculated volume, the calculation gives 29.15 Å³ per atom.

=====

The most stable of them is two.

=====

one | Computed, not measured: a relaxed structure of PWBr at the PBE level of DFT.

Cell: 3.3682 3.3682 6.3696 Å, 90.00 90.00 120.00°
Closest atoms and distances in Å follow each position.
Fractional positions:
P (0.0000, 0.0000, 0.0000)  3 W 2.39
W (0.3333, 0.6667, 0.2172)  3 P 2.39
Br (0.6667, 0.3333, 0.5234)  3 W 2.75

Values from the calculation:
The density of states at the Fermi level is 0.594 states/eV/atom. For the calculated volume, the calculation gives 20.86 Å³ per atom.

=====

two | Computed, not measured: a relaxed structure of PWBr at the PBE level of DFT.

Cell: 7.5239 7.2360 3.1668 Å, 82.75 72.57 24.68°
Closest atoms and distances in Å follow each position.
Fractional positions:
P (0.0000, 0.0000, 0.0000)  2 W 2.35
W (0.3846, 0.3846, 0.6154)  2 P 2.35
Br (0.7362, 0.7362, 0.2638)  2 W 2.69

Values from the calculation:
The density of states at the Fermi level is 0.494 states/eV/atom. For the calculated volume, the calculation gives 21.30 Å³ per atom.

=====

three | Computed, not measured: a relaxed structure of PWBr at the PBE level of DFT.

Cell: 4.3880 4.3880 4.3880 Å, 60.00 60.00 60.00°
Closest atoms and distances in Å follow each position.
Fractional positions:
P (0.0000, 0.0000, 0.0000)  4 W 2.69
W (0.7500, 0.7500, 0.7500)  4 Br 2.69, 4 P 2.69
Br (0.5000, 0.5000, 0.5000)  4 W 2.69

Values from the calculation:
The density of states at the Fermi level is 0.374 states/eV/atom. For the calculated volume, the calculation gives 19.91 Å³ per atom.

=====

four | Computed, not measured: a relaxed structure of PWBr at the PBE level of DFT.

Cell: 4.3031 4.3031 4.3031 Å, 60.00 60.00 60.00°
Closest atoms and distances in Å follow each position.
Fractional positions:
P (0.0000, 0.0000, 0.0000)  4 W 2.64, 4 Br 2.64
W (0.7500, 0.7500, 0.7500)  4 P 2.64
Br (0.2500, 0.2500, 0.2500)  4 P 2.64

Values from the calculation:
The density of states at the Fermi level is 0.983 states/eV/atom. For the calculated volume, the calculation gives 18.78 Å³ per atom.

=====

The most stable of them is one.

=====

one | Computed, not measured: a relaxed structure of P3WBr at the PBE level of DFT.

Cell: 4.6253 4.6253 4.6253 Å, 90.00 90.00 90.00°
Closest atoms and distances in Å follow each position.
Fractional positions:
P (0.0000, 0.0000, 0.5000)  2 Br 2.31
P (0.0000, 0.5000, 0.0000)  2 Br 2.31
P (0.5000, 0.0000, 0.0000)  2 Br 2.31
W (0.5000, 0.5000, 0.5000)  12 P 3.27
Br (0.0000, 0.0000, 0.0000)  6 P 2.31

Values from the calculation:
The density of states at the Fermi level is 0.447 states/eV/atom. For the calculated volume, the calculation gives 19.79 Å³ per atom.

=====

two | Computed, not measured: a relaxed structure of P3WBr at the PBE level of DFT.

Cell: 4.7253 4.7253 4.7253 Å, 90.00 90.00 90.00°
Closest atoms and distances in Å follow each position.
Fractional positions:
P (0.0000, 0.0000, 0.5000)  2 W 2.36
P (0.0000, 0.5000, 0.0000)  2 W 2.36
P (0.5000, 0.0000, 0.0000)  2 W 2.36
W (0.0000, 0.0000, 0.0000)  6 P 2.36
Br (0.5000, 0.5000, 0.5000)  12 P 3.34

Values from the calculation:
The density of states at the Fermi level is 0.772 states/eV/atom. For the calculated volume, the calculation gives 21.10 Å³ per atom.

=====

The most stable of them is two.

=====

one | Computed, not measured: a relaxed structure of YPBr3 at the PBE level of DFT.

Cell: 5.6239 5.6239 5.6239 Å, 90.00 90.00 90.00°
Closest atoms and distances in Å follow each position.
Fractional positions:
Y (0.0000, 0.0000, 0.0000)  6 Br 2.81
P (0.5000, 0.5000, 0.5000)  12 Br 3.98
Br (0.0000, 0.0000, 0.5000)  2 Y 2.81
Br (0.0000, 0.5000, 0.0000)  2 Y 2.81
Br (0.5000, 0.0000, 0.0000)  2 Y 2.81

Values from the calculation:
The density of states at the Fermi level is 0.000 states/eV/atom. For the calculated volume, the calculation gives 35.57 Å³ per atom.

=====

two | Computed, not measured: a relaxed structure of YPBr3 at the PBE level of DFT.

Cell: 5.2142 5.2142 5.2142 Å, 90.00 90.00 90.00°
Closest atoms and distances in Å follow each position.
Fractional positions:
Y (0.0000, 0.0000, 0.0000)  12 Br 3.69
P (0.5000, 0.5000, 0.5000)  6 Br 2.61
Br (0.0000, 0.5000, 0.5000)  2 P 2.61
Br (0.5000, 0.0000, 0.5000)  2 P 2.61
Br (0.5000, 0.5000, 0.0000)  2 P 2.61

Values from the calculation:
The density of states at the Fermi level is 1.138 states/eV/atom. For the calculated volume, the calculation gives 28.35 Å³ per atom.

=====

The most stable of them is one.